1.
# As2OsAu

An optimized crystal structure of As2OsAu (PBE, Alexandria via LeMat-Bulk).

abc: 4.553 4.553 4.553
angles: 60.00 60.00 60.00
Sites, in units of the cell vectors:
Os 0.000 0.000 0.000
As 0.250 0.250 0.250
As 0.750 0.750 0.750
Au 0.500 0.500 0.500

Values from the calculation:
DOS at the Fermi energy, states/eV/f.u.: 4.47
V, Å³ per atom: 16.7
ΔH_f (0 K), eV/atom: 0.5970
Excess energy over the best structure of this formula in the dataset, meV/atom: 373
Size of the total moment, μB per formula unit: 0.0
Space-group type: Fm-3m (225)

---

2.
# As2OsAu

An optimized crystal structure of As2OsAu (PBE, Alexandria via LeMat-Bulk).

abc: 3.043 3.977 5.689
angles: 90.00 90.00 90.00
Sites, in units of the cell vectors:
Os 0.500 0.500 0.816
As 0.000 0.000 0.941
As 0.500 0.500 0.265
Au 0.000 0.000 0.478

Values from the calculation:
DOS at the Fermi energy, states/eV/f.u.: 2.38
V, Å³ per atom: 17.2
ΔH_f (0 K), eV/atom: 0.4227
Excess energy over the best structure of this formula in the dataset, meV/atom: 199
Size of the total moment, μB per formula unit: 0.0
Space-group type: Pmm2 (25)

---

3.
# As2OsAu

An optimized crystal structure of As2OsAu (PBE, Alexandria via LeMat-Bulk).

abc: 4.595 4.595 4.595
angles: 60.00 60.00 60.00
Sites, in units of the cell vectors:
Os 0.250 0.250 0.250
As 0.000 0.000 0.000
As 0.750 0.750 0.750
Au 0.500 0.500 0.500

Values from the calculation:
DOS at the Fermi energy, states/eV/f.u.: 4.95
V, Å³ per atom: 17.1
ΔH_f (0 K), eV/atom: 0.8424
Excess energy over the best structure of this formula in the dataset, meV/atom: 619
Size of the total moment, μB per formula unit: 0.0
Space-group type: F-43m (216)

---

4.
# As3OsAu

An optimized crystal structure of As3OsAu (PBE, Alexandria via LeMat-Bulk).

abc: 4.807 4.807 4.807
angles: 90.00 90.00 90.00
Sites, in units of the cell vectors:
Os 0.000 0.000 0.000
As 0.000 0.500 0.000
As 0.000 0.000 0.500
As 0.500 0.000 0.000
Au 0.500 0.500 0.500

Values from the calculation:
DOS at the Fermi energy, states/eV/f.u.: 2.72
V, Å³ per atom: 22.2
ΔH_f (0 K), eV/atom: 0.7572
Excess energy over the best structure of this formula in the dataset, meV/atom: 0
Size of the total moment, μB per formula unit: 0.0
Space-group type: Pm-3m (221)

---

Which of these has the highest ΔH_f (0 K)?
number 3